Run w
An optimized crystal structure of Y2Hg2As, computed with PBE.

POSCAR file:
```
Y2Hg2As
1.0
7.6397 0.0000 0.0000
0.0000 7.6397 0.0000
0.0000 0.0000 4.3565
Hg As Y
4 2 4
Direct
0.6332 0.1332 0.0000 Hg
0.3668 0.8668 0.0000 Hg
0.1332 0.3668 0.0000 Hg
0.8668 0.6332 0.0000 Hg
0.0000 0.0000 0.0000 As
0.5000 0.5000 0.0000 As
0.3317 0.1683 0.5000 Y
0.1683 0.6683 0.5000 Y
0.8317 0.3317 0.5000 Y
0.6683 0.8317 0.5000 Y
```

=====

Run x
An optimized crystal structure of Y2Hg2As, computed with PBE.

POSCAR file:
```
Y2Hg2As
1.0
-2.1474 0.5136 7.2748
-6.1195 -4.2523 -1.5061
2.4767 -3.9212 1.0079
Hg Y As
4 4 2
Direct
0.3619 0.1381 0.5000 Hg
0.8619 0.3619 0.5000 Hg
0.6381 0.8619 0.5000 Hg
0.1381 0.6381 0.5000 Hg
0.8292 0.6708 0.0000 Y
0.1708 0.3292 0.0000 Y
0.3292 0.8292 0.0000 Y
0.6708 0.1708 0.0000 Y
0.5000 0.5000 0.0000 As
0.0000 0.0000 0.0000 As
```

=====

Which structure is the least stable? The one labeled run w.